Model one:
# Li32Mn13Cr3O48

Li32Mn13Cr3O48 after structural relaxation (PBE+U, Alexandria).

Unit cell a=4.9993 b=8.6768 c=19.4678 alpha=81.92 beta=85.27 gamma=89.74
Space group P1 (No. 1)
Inequivalent atoms, fractional coordinates:
Li 0.0000 0.0000 0.0000 [1 per cell]
Li 0.0005 0.9989 0.5011 [1 per cell]
Li 0.1150 0.7905 0.1267 [1 per cell]
Li 0.1190 0.7919 0.6262 [1 per cell]
Li 0.1246 0.1241 0.6262 [1 per cell]
Li 0.1306 0.1249 0.1262 [1 per cell]
Li 0.1347 0.4542 0.1259 [1 per cell]
Li 0.1378 0.4526 0.6267 [1 per cell]
Li 0.2490 0.2501 0.2502 [1 per cell]
Li 0.2518 0.2488 0.7507 [1 per cell]
Li 0.3673 0.0406 0.3764 [1 per cell]
Li 0.3734 0.0468 0.8743 [1 per cell]
Li 0.3753 0.3746 0.8749 [1 per cell]
Li 0.3814 0.3741 0.3758 [1 per cell]
Li 0.3846 0.7044 0.3754 [1 per cell]
Li 0.3875 0.7042 0.8747 [1 per cell]
Li 0.5005 0.4993 0.5003 [1 per cell]
Li 0.4999 0.4998 0.0005 [1 per cell]
Li 0.6151 0.2893 0.6266 [1 per cell]
Li 0.6222 0.6250 0.1257 [1 per cell]
Li 0.6228 0.2956 0.1250 [1 per cell]
Li 0.6307 0.6243 0.6264 [1 per cell]
Li 0.6377 0.9557 0.6255 [1 per cell]
Li 0.6401 0.9528 0.1258 [1 per cell]
Li 0.7502 0.7485 0.2513 [1 per cell]
Li 0.7524 0.7490 0.7505 [1 per cell]
Li 0.8713 0.5448 0.8753 [1 per cell]
Li 0.8726 0.8746 0.3753 [1 per cell]
Li 0.8738 0.5461 0.3746 [1 per cell]
Li 0.8784 0.8742 0.8752 [1 per cell]
Li 0.8828 0.2034 0.8756 [1 per cell]
Li 0.8908 0.2026 0.3756 [1 per cell]
Mn 0.0032 0.3329 0.0005 [1 per cell]
Mn 0.0063 0.6665 0.5000 [1 per cell]
Mn 0.2503 0.9133 0.2516 [1 per cell]
Mn 0.2517 0.5825 0.7505 [1 per cell]
Mn 0.2527 0.5823 0.2508 [1 per cell]
Mn 0.2533 0.9153 0.7505 [1 per cell]
Mn 0.4995 0.1624 0.5017 [1 per cell]
Mn 0.5034 0.8320 0.5008 [1 per cell]
Mn 0.5060 0.1673 0.9998 [1 per cell]
Mn 0.7518 0.0824 0.7506 [1 per cell]
Mn 0.7532 0.4153 0.7505 [1 per cell]
Mn 0.7558 0.4171 0.2498 [1 per cell]
Mn 0.9987 0.6632 0.0018 [1 per cell]
Cr 0.4954 0.8339 0.0005 [1 per cell]
Cr 0.7452 0.0834 0.2505 [1 per cell]
Cr 0.9963 0.3334 0.5006 [1 per cell]
O 0.0555 0.0506 0.3078 [1 per cell]
O 0.0555 0.0518 0.8075 [1 per cell]
O 0.0559 0.4098 0.8065 [1 per cell]
O 0.0579 0.4101 0.3064 [1 per cell]
O 0.0903 0.7295 0.3064 [1 per cell]
O 0.0918 0.7312 0.8066 [1 per cell]
O 0.1623 0.5177 0.9450 [1 per cell]
O 0.1659 0.5201 0.4436 [1 per cell]
O 0.1995 0.8393 0.4450 [1 per cell]
O 0.2005 0.1965 0.9436 [1 per cell]
O 0.2000 0.8351 0.9454 [1 per cell]
O 0.2033 0.1972 0.4437 [1 per cell]
O 0.2987 0.6580 0.0568 [1 per cell]
O 0.3056 0.2996 0.5575 [1 per cell]
O 0.3063 0.3025 0.0574 [1 per cell]
O 0.3077 0.6591 0.5564 [1 per cell]
O 0.3415 0.9811 0.5564 [1 per cell]
O 0.3481 0.9809 0.0565 [1 per cell]
O 0.4116 0.7653 0.1951 [1 per cell]
O 0.4136 0.7666 0.6946 [1 per cell]
O 0.4487 0.0881 0.6947 [1 per cell]
O 0.4500 0.0860 0.1947 [1 per cell]
O 0.4499 0.4460 0.6934 [1 per cell]
O 0.4497 0.4467 0.1938 [1 per cell]
O 0.5506 0.9067 0.3075 [1 per cell]
O 0.5545 0.5514 0.3075 [1 per cell]
O 0.5551 0.5519 0.8075 [1 per cell]
O 0.5560 0.9096 0.8066 [1 per cell]
O 0.5911 0.2314 0.8064 [1 per cell]
O 0.5979 0.2307 0.3065 [1 per cell]
O 0.6629 0.0166 0.4451 [1 per cell]
O 0.6652 0.0208 0.9435 [1 per cell]
O 0.6995 0.3400 0.9446 [1 per cell]
O 0.7014 0.3344 0.4453 [1 per cell]
O 0.7008 0.6954 0.4439 [1 per cell]
O 0.7027 0.6981 0.9438 [1 per cell]
O 0.7991 0.1571 0.5568 [1 per cell]
O 0.8050 0.8004 0.0577 [1 per cell]
O 0.8063 0.8016 0.5577 [1 per cell]
O 0.8075 0.1598 0.0562 [1 per cell]
O 0.8405 0.4818 0.0563 [1 per cell]
O 0.8482 0.4801 0.5565 [1 per cell]
O 0.9134 0.2665 0.6945 [1 per cell]
O 0.9155 0.2709 0.1935 [1 per cell]
O 0.9490 0.5881 0.6945 [1 per cell]
O 0.9504 0.5892 0.1949 [1 per cell]
O 0.9498 0.9459 0.6936 [1 per cell]
O 0.9500 0.9473 0.1936 [1 per cell]

=====

Model two:
# Li32Mn13Cr3O48

Li32Mn13Cr3O48 after structural relaxation (PBE+U, Alexandria).

Unit cell a=4.9948 b=8.6789 c=19.4583 alpha=81.84 beta=85.35 gamma=89.82
Space group P1 (No. 1)
Inequivalent atoms, fractional coordinates:
Li 0.0000 0.0000 0.0000 [1 per cell]
Li 0.9997 0.0015 0.4996 [1 per cell]
Li 0.0134 0.3306 0.4992 [1 per cell]
Li 0.0140 0.3302 0.9996 [1 per cell]
Li 0.0159 0.6578 0.0003 [1 per cell]
Li 0.0184 0.6594 0.5006 [1 per cell]
Li 0.1323 0.4569 0.6242 [1 per cell]
Li 0.1365 0.4552 0.1243 [1 per cell]
Li 0.2482 0.2447 0.7505 [1 per cell]
Li 0.2536 0.2493 0.2494 [1 per cell]
Li 0.2597 0.5811 0.2491 [1 per cell]
Li 0.2636 0.5804 0.7492 [1 per cell]
Li 0.2709 0.9125 0.2488 [1 per cell]
Li 0.2760 0.9175 0.7480 [1 per cell]
Li 0.3832 0.7051 0.3737 [1 per cell]
Li 0.3914 0.7041 0.8750 [1 per cell]
Li 0.5048 0.8363 0.4996 [1 per cell]
Li 0.5064 0.5019 0.9985 [1 per cell]
Li 0.5069 0.5033 0.4983 [1 per cell]
Li 0.5120 0.8305 0.9992 [1 per cell]
Li 0.5206 0.1606 0.9989 [1 per cell]
Li 0.5222 0.1606 0.4985 [1 per cell]
Li 0.6338 0.9573 0.6241 [1 per cell]
Li 0.6360 0.9554 0.1242 [1 per cell]
Li 0.7494 0.7506 0.7488 [1 per cell]
Li 0.7572 0.7498 0.2482 [1 per cell]
Li 0.7621 0.0819 0.7496 [1 per cell]
Li 0.7632 0.0821 0.2486 [1 per cell]
Li 0.7696 0.4110 0.2489 [1 per cell]
Li 0.7725 0.4103 0.7500 [1 per cell]
Li 0.8858 0.2050 0.3744 [1 per cell]
Li 0.8885 0.2052 0.8737 [1 per cell]
Mn 0.1325 0.1207 0.6252 [1 per cell]
Mn 0.1357 0.7890 0.1242 [1 per cell]
Mn 0.1360 0.7899 0.6242 [1 per cell]
Mn 0.1372 0.1218 0.1242 [1 per cell]
Mn 0.3844 0.0417 0.3747 [1 per cell]
Mn 0.3868 0.3718 0.8740 [1 per cell]
Mn 0.3893 0.0411 0.8733 [1 per cell]
Mn 0.3891 0.3720 0.3744 [1 per cell]
Mn 0.6356 0.2891 0.1241 [1 per cell]
Mn 0.6367 0.6218 0.1242 [1 per cell]
Mn 0.6392 0.6247 0.6231 [1 per cell]
Mn 0.8841 0.5370 0.8750 [1 per cell]
Mn 0.8891 0.5376 0.3736 [1 per cell]
Cr 0.6284 0.2917 0.6240 [1 per cell]
Cr 0.8824 0.8702 0.3743 [1 per cell]
Cr 0.8951 0.8704 0.8742 [1 per cell]
O 0.0415 0.7242 0.8185 [1 per cell]
O 0.0493 0.7201 0.3174 [1 per cell]
O 0.0858 0.0451 0.3188 [1 per cell]
O 0.0862 0.4015 0.3173 [1 per cell]
O 0.0863 0.4030 0.8169 [1 per cell]
O 0.0893 0.0484 0.8171 [1 per cell]
O 0.1887 0.8683 0.9302 [1 per cell]
O 0.1894 0.8694 0.4298 [1 per cell]
O 0.1900 0.5074 0.9309 [1 per cell]
O 0.1917 0.5084 0.4311 [1 per cell]
O 0.2258 0.1896 0.4297 [1 per cell]
O 0.2283 0.1890 0.9294 [1 per cell]
O 0.2950 0.9748 0.5686 [1 per cell]
O 0.2969 0.9735 0.0682 [1 per cell]
O 0.3334 0.2930 0.5684 [1 per cell]
O 0.3326 0.2945 0.0681 [1 per cell]
O 0.3330 0.6528 0.0672 [1 per cell]
O 0.3342 0.6542 0.5673 [1 per cell]
O 0.4331 0.1146 0.6802 [1 per cell]
O 0.4404 0.1160 0.1803 [1 per cell]
O 0.4397 0.7583 0.1813 [1 per cell]
O 0.4395 0.7585 0.6808 [1 per cell]
O 0.4755 0.4374 0.1801 [1 per cell]
O 0.4828 0.4389 0.6795 [1 per cell]
O 0.5466 0.2242 0.3189 [1 per cell]
O 0.5496 0.2250 0.8179 [1 per cell]
O 0.5818 0.5442 0.8185 [1 per cell]
O 0.5834 0.5440 0.3187 [1 per cell]
O 0.5839 0.9036 0.8172 [1 per cell]
O 0.5882 0.9067 0.3174 [1 per cell]
O 0.6828 0.0116 0.4322 [1 per cell]
O 0.6890 0.3647 0.9297 [1 per cell]
O 0.6902 0.0076 0.9310 [1 per cell]
O 0.6896 0.3667 0.4300 [1 per cell]
O 0.7247 0.6829 0.9314 [1 per cell]
O 0.7298 0.6889 0.4297 [1 per cell]
O 0.7973 0.4731 0.0683 [1 per cell]
O 0.7975 0.4799 0.5673 [1 per cell]
O 0.8325 0.7949 0.0682 [1 per cell]
O 0.8321 0.7970 0.5682 [1 per cell]
O 0.8337 0.1526 0.0671 [1 per cell]
O 0.8353 0.1552 0.5672 [1 per cell]
O 0.9394 0.2584 0.1812 [1 per cell]
O 0.9386 0.6171 0.6799 [1 per cell]
O 0.9398 0.2581 0.6809 [1 per cell]
O 0.9401 0.6157 0.1801 [1 per cell]
O 0.9743 0.9386 0.6800 [1 per cell]
O 0.9754 0.9375 0.1804 [1 per cell]

=====

Bottom line: model one, by a margin of 0.024 eV/atom.

=====

Model one:
# Li3Mn5Cr3O16

Li3Mn5Cr3O16 after structural relaxation (PBE+U, Alexandria).

Unit cell a=10.2840 b=5.8528 c=10.1991 alpha=90.00 beta=109.02 gamma=90.00
Space group Cm (No. 8)
Inequivalent atoms, fractional coordinates:
Li 0.0000 0.0000 0.0000 [2 per cell]
Li 0.0032 0.5000 0.5079 [2 per cell]
Li 0.3671 0.0000 0.1334 [2 per cell]
Mn 0.1844 0.2499 0.8163 [4 per cell]
Mn 0.1854 0.0000 0.5705 [2 per cell]
Mn 0.1848 0.2514 0.3196 [4 per cell]
Cr 0.1840 0.5000 0.0675 [2 per cell]
Cr 0.4338 0.0000 0.8151 [2 per cell]
Cr 0.4338 0.5000 0.3208 [2 per cell]
O 0.0685 0.2720 0.9322 [4 per cell]
O 0.0703 0.0000 0.2146 [2 per cell]
O 0.0710 0.2247 0.4394 [4 per cell]
O 0.0716 0.5000 0.7123 [2 per cell]
O 0.0784 0.5000 0.2057 [2 per cell]
O 0.0834 0.0000 0.7004 [2 per cell]
O 0.2891 0.0000 0.4367 [2 per cell]
O 0.2896 0.5000 0.9307 [2 per cell]
O 0.2950 0.5000 0.4207 [2 per cell]
O 0.2960 0.2212 0.6970 [4 per cell]
O 0.2982 0.0000 0.9225 [2 per cell]
O 0.2999 0.2706 0.2039 [4 per cell]

=====

Model two:
# Li3Mn5Cr3O16

Li3Mn5Cr3O16 after structural relaxation (PBE+U, Alexandria).

Unit cell a=10.2852 b=5.8560 c=10.1939 alpha=90.00 beta=109.05 gamma=90.00
Space group Cm (No. 8)
Inequivalent atoms, fractional coordinates:
Li 0.0000 0.0000 0.0000 [2 per cell]
Li 0.1296 0.5000 0.8618 [2 per cell]
Li 0.3140 0.0000 0.4305 [2 per cell]
Mn 0.3126 0.2512 0.1805 [4 per cell]
Mn 0.3148 0.5000 0.4309 [2 per cell]
Mn 0.3170 0.2510 0.6813 [4 per cell]
Cr 0.0632 0.5000 0.1874 [2 per cell]
Cr 0.0664 0.0000 0.6744 [2 per cell]
Cr 0.3148 0.0000 0.9309 [2 per cell]
O 0.1966 0.5000 0.0766 [2 per cell]
O 0.1993 0.2281 0.7940 [4 per cell]
O 0.2040 0.2737 0.3046 [4 per cell]
O 0.2077 0.0000 0.0663 [2 per cell]
O 0.2091 0.0000 0.5759 [2 per cell]
O 0.2157 0.5000 0.5656 [2 per cell]
O 0.4140 0.5000 0.2962 [2 per cell]
O 0.4204 0.0000 0.2859 [2 per cell]
O 0.4219 0.0000 0.7954 [2 per cell]
O 0.4255 0.2737 0.5571 [4 per cell]
O 0.4303 0.2280 0.0677 [4 per cell]
O 0.4330 0.5000 0.7852 [2 per cell]

=====

Bottom line: model one, by a margin of 0.006 eV/atom.

=====

Model one:
# Li24Mn11CrO36

Li24Mn11CrO36 after structural relaxation (PBE+U, Alexandria).

Unit cell a=15.0498 b=8.6587 c=11.6622 alpha=90.00 beta=124.58 gamma=90.00
Space group C2 (No. 5)
Inequivalent atoms, fractional coordinates:
Li 0.0000 0.9998 0.0000 [2 per cell]
Li 0.0003 0.0000 0.2487 [4 per cell]
Li 0.0000 0.9982 0.5000 [2 per cell]
Li 0.0010 0.3411 0.7519 [4 per cell]
Li 0.0007 0.6615 0.7501 [4 per cell]
Li 0.1663 0.1610 0.2496 [4 per cell]
Li 0.1664 0.4993 0.2494 [4 per cell]
Li 0.1667 0.4994 0.5009 [4 per cell]
Li 0.1666 0.5000 0.9998 [4 per cell]
Li 0.1671 0.4999 0.7502 [4 per cell]
Li 0.1670 0.8387 0.7507 [4 per cell]
Li 0.1681 0.8384 0.2508 [4 per cell]
Li 0.1699 0.1612 0.7526 [4 per cell]
Mn 0.0000 0.3328 0.0000 [2 per cell]
Mn 0.0000 0.6672 0.0000 [2 per cell]
Mn 0.0000 0.6675 0.5000 [2 per cell]
Mn 0.1662 0.8331 0.4997 [4 per cell]
Mn 0.1666 0.1672 0.9999 [4 per cell]
Mn 0.1666 0.8330 0.9999 [4 per cell]
Mn 0.1686 0.1671 0.5013 [4 per cell]
Cr 0.0000 0.3288 0.5000 [2 per cell]
O 0.0029 0.4999 0.1140 [4 per cell]
O 0.0039 0.5005 0.6138 [4 per cell]
O 0.0101 0.1787 0.8879 [4 per cell]
O 0.0103 0.8213 0.8881 [4 per cell]
O 0.0100 0.8226 0.3881 [4 per cell]
O 0.0114 0.1822 0.3885 [4 per cell]
O 0.1564 0.3214 0.1119 [4 per cell]
O 0.1564 0.6784 0.1117 [4 per cell]
O 0.1563 0.6790 0.6119 [4 per cell]
O 0.1593 0.3195 0.6138 [4 per cell]
O 0.1639 0.9998 0.3861 [4 per cell]
O 0.1637 0.0001 0.8859 [4 per cell]
O 0.1693 0.0002 0.1136 [4 per cell]
O 0.1693 0.0002 0.6138 [4 per cell]
O 0.1758 0.6777 0.3880 [4 per cell]
O 0.1774 0.3214 0.3885 [4 per cell]
O 0.1768 0.3215 0.8879 [4 per cell]
O 0.1770 0.6786 0.8882 [4 per cell]

=====

Model two:
# Li24Mn11CrO36

Li24Mn11CrO36 after structural relaxation (PBE+U, Alexandria).

Unit cell a=15.0531 b=8.6892 c=10.1877 alpha=90.00 beta=109.60 gamma=90.00
Space group C2 (No. 5)
Inequivalent atoms, fractional coordinates:
Li 0.0000 0.9999 0.0000 [2 per cell]
Li 0.0000 0.0003 0.5000 [2 per cell]
Li 0.0003 0.1605 0.2502 [4 per cell]
Li 0.9995 0.4995 0.2499 [4 per cell]
Li 0.9995 0.8401 0.2499 [4 per cell]
Li 0.1660 0.3369 0.2496 [4 per cell]
Li 0.1660 0.5004 0.9999 [4 per cell]
Li 0.1664 0.5000 0.4993 [4 per cell]
Li 0.1662 0.6591 0.2494 [4 per cell]
Li 0.1670 0.9999 0.2489 [4 per cell]
Li 0.1673 0.9999 0.7498 [4 per cell]
Li 0.1669 0.3403 0.7497 [4 per cell]
Li 0.1666 0.6633 0.7510 [4 per cell]
Mn 0.0000 0.3335 0.0000 [2 per cell]
Mn 0.0000 0.3326 0.5000 [2 per cell]
Mn 0.0000 0.6669 0.5000 [2 per cell]
Mn 0.1662 0.8335 0.9994 [4 per cell]
Mn 0.1670 0.1672 0.0005 [4 per cell]
Mn 0.1666 0.1666 0.5002 [4 per cell]
Mn 0.1667 0.8331 0.4992 [4 per cell]
Cr 0.0000 0.6652 0.0000 [2 per cell]
O 0.0730 0.4996 0.6130 [4 per cell]
O 0.0763 0.4844 0.1215 [4 per cell]
O 0.0814 0.3200 0.8874 [4 per cell]
O 0.0815 0.6789 0.3872 [4 per cell]
O 0.0819 0.3203 0.3888 [4 per cell]
O 0.0850 0.1745 0.1108 [4 per cell]
O 0.0848 0.1785 0.6121 [4 per cell]
O 0.0848 0.8218 0.6103 [4 per cell]
O 0.0894 0.6832 0.8803 [4 per cell]
O 0.0927 0.8338 0.1181 [4 per cell]
O 0.0936 0.0003 0.3863 [4 per cell]
O 0.0944 0.0005 0.8849 [4 per cell]
O 0.2395 0.9996 0.6132 [4 per cell]
O 0.2415 0.0029 0.1129 [4 per cell]
O 0.2483 0.1803 0.8876 [4 per cell]
O 0.2488 0.1786 0.3890 [4 per cell]
O 0.2489 0.3232 0.1111 [4 per cell]
O 0.2490 0.8211 0.3883 [4 per cell]

Summary:
- N(E_F): 45.8 states/eV/cell

=====

Bottom line: model two, by a margin of 0.671 eV/atom.